Computed, not measured: crystalline LaTb8Y3 at its relaxed geometry at the PBE level of DFT.

Calculated values
D(E_F) = 1.542 states/eV per atom
Energy relative to the elements = 7.7 eV/f.u.
Spin magnetization = 0.01 μB/f.u.

abc: 8.6935 8.6935 11.3612
angles: 90.00 90.00 90.00
Last column: nearest neighbours and their distance in Å.
Space group I-42m (No. 121)
Unique sites:
La 0.0000 0.0000 0.0000  8 Tb 3.06-3.22
Tb 0.1249 0.1249 0.2494  3 Tb 3.07-3.23, 1 La 3.22, 3 Y 3.23-3.44
Tb 0.2490 0.2490 0.9986  1 La 3.06, 1 Y 3.09, 2 Tb 3.23
Y 0.0000 0.0000 0.5000  8 Tb 3.09-3.23
Y 0.0000 0.5000 0.2500  4 Tb 3.44